Density functional theory data (GGA-PBE) for SnSe6Cl8 after structural relaxation.

CIF file:
```
data_SnSe6Cl8
_symmetry_space_group_name_H-M 'P 1'
_symmetry_Int_Tables_number 1
_symmetry_space_group_name_Hall 'P 1'
_cell_length_a 7.6965
_cell_length_b 8.3795
_cell_length_c 9.9865
_cell_angle_alpha 116.61
_cell_angle_beta 71.90
_cell_angle_gamma 111.69
loop_
_atom_site_label
_atom_site_fract_x
_atom_site_fract_y
_atom_site_fract_z
Cl1 0.9484 0.6697 0.9313
Se1 0.4447 0.3011 0.7788
Sn1 0.0000 0.0000 0.0000
Cl2 0.5145 0.4868 0.3142
Cl3 0.0332 0.0616 0.2665
Se2 0.3813 0.8932 0.4156
Cl4 0.0516 0.3303 0.0687
Se3 0.5553 0.6989 0.2212
Cl5 0.9668 0.9384 0.7335
Se4 0.0894 0.6214 0.5709
Cl6 0.4855 0.5132 0.6858
Cl7 0.6564 0.9668 0.0848
Cl8 0.3436 0.0332 0.9152
Se5 0.6187 0.1068 0.5844
Se6 0.9106 0.3786 0.4291
```

Density functional theory data (GGA-PBE) for Sn2Se2Cl after structural relaxation.

Summary:
distance to the lowest polymorph of the same formula: 0.069 eV per atom

CIF file:
```
data_Sn2Se2Cl
_symmetry_space_group_name_H-M 'P 1'
_symmetry_Int_Tables_number 1
_symmetry_space_group_name_Hall 'P 1'
_cell_length_a 8.0698
_cell_length_b 8.0698
_cell_length_c 3.8729
_cell_angle_alpha 90.00
_cell_angle_beta 90.00
_cell_angle_gamma 90.00
loop_
_atom_site_label
_atom_site_fract_x
_atom_site_fract_y
_atom_site_fract_z
Cl1 0.0000 0.0000 0.0000
Sn1 0.1816 0.3184 0.0000
Sn2 0.3184 0.8184 0.0000
Sn3 0.6816 0.1816 0.0000
Cl2 0.5000 0.5000 0.0000
Se1 0.6377 0.8623 0.5000
Sn4 0.8184 0.6816 0.0000
Se2 0.3623 0.1377 0.5000
Se3 0.1377 0.6377 0.5000
Se4 0.8623 0.3623 0.5000
```

Density functional theory data (GGA-PBE) for Sn4Se2Cl5 after structural relaxation.

CIF file:
```
data_Sn4Se2Cl5
_symmetry_space_group_name_H-M 'P 1'
_symmetry_Int_Tables_number 1
_symmetry_space_group_name_Hall 'P 1'
_cell_length_a 3.3077
_cell_length_b 8.0844
_cell_length_c 12.4734
_cell_angle_alpha 108.91
_cell_angle_beta 97.62
_cell_angle_gamma 90.00
loop_
_atom_site_label
_atom_site_fract_x
_atom_site_fract_y
_atom_site_fract_z
Sn1 0.7504 0.7504 0.5007
Cl1 0.8781 0.5781 0.7562
Sn2 0.0000 0.3029 0.0000
Cl2 0.8781 0.1781 0.7562
Sn3 0.2496 0.2496 0.4993
Sn4 0.0000 0.6971 0.0000
Cl3 0.1219 0.8219 0.2438
Cl4 0.1219 0.4219 0.2438
Cl5 0.5000 0.0000 0.0000
Se1 0.1315 0.1315 0.2631
Se2 0.8685 0.8685 0.7369
```

Density functional theory data (GGA-PBE) for Sn2Se2Cl after structural relaxation.

Summary:
distance to the lowest polymorph of the same formula: 0.180 eV per atom

CIF file:
```
data_Sn2Se2Cl
_symmetry_space_group_name_H-M 'P 1'
_symmetry_Int_Tables_number 1
_symmetry_space_group_name_Hall 'P 1'
_cell_length_a 4.5606
_cell_length_b 4.5606
_cell_length_c 7.6841
_cell_angle_alpha 72.74
_cell_angle_beta 72.74
_cell_angle_gamma 90.00
loop_
_atom_site_label
_atom_site_fract_x
_atom_site_fract_y
_atom_site_fract_z
Sn1 0.3784 0.3784 0.2433
Cl1 0.0000 0.0000 0.0000
Se1 0.2500 0.7500 0.5000
Se2 0.7500 0.2500 0.5000
Sn2 0.6216 0.6216 0.7567
```

Density functional theory data (GGA-PBE) for Sn2SeCl after structural relaxation.

Summary:
distance to the lowest polymorph of the same formula: 0.000 eV per atom

CIF file:
```
data_Sn2SeCl
_symmetry_space_group_name_H-M 'P 1'
_symmetry_Int_Tables_number 1
_symmetry_space_group_name_Hall 'P 1'
_cell_length_a 3.8658
_cell_length_b 3.8658
_cell_length_c 8.7660
_cell_angle_alpha 77.26
_cell_angle_beta 77.26
_cell_angle_gamma 60.00
loop_
_atom_site_label
_atom_site_fract_x
_atom_site_fract_y
_atom_site_fract_z
Sn1 0.2553 0.2553 0.2340
Sn2 0.7447 0.7447 0.7660
Cl1 0.5000 0.5000 0.5000
Se1 0.0000 0.0000 0.0000
```

Density functional theory data (GGA-PBE) for TlSnSeCl after structural relaxation.

CIF file:
```
data_TlSnSeCl
_symmetry_space_group_name_H-M 'P 1'
_symmetry_Int_Tables_number 1
_symmetry_space_group_name_Hall 'P 1'
_cell_length_a 4.2997
_cell_length_b 4.2996
_cell_length_c 8.1768
_cell_angle_alpha 90.01
_cell_angle_beta 105.24
_cell_angle_gamma 120.00
loop_
_atom_site_label
_atom_site_fract_x
_atom_site_fract_y
_atom_site_fract_z
Sn1 0.1231 0.9597 0.0973
Tl1 0.4698 0.1328 0.6183
Se1 0.3264 0.5611 0.9028
Cl1 0.9586 0.3771 0.3512
```

Density functional theory data (GGA-PBE) for Tl5SnSe4Cl2 after structural relaxation.

CIF file:
```
data_Tl5SnSe4Cl2
_symmetry_space_group_name_H-M 'P 1'
_symmetry_Int_Tables_number 1
_symmetry_space_group_name_Hall 'P 1'
_cell_length_a 8.3530
_cell_length_b 6.7320
_cell_length_c 9.4053
_cell_angle_alpha 90.00
_cell_angle_beta 90.00
_cell_angle_gamma 128.35
loop_
_atom_site_label
_atom_site_fract_x
_atom_site_fract_y
_atom_site_fract_z
Se1 0.4028 0.4068 0.0000
Se2 0.5579 0.0000 0.7861
Tl1 0.7373 0.6296 0.2440
Tl2 0.7373 0.6296 0.7560
Se3 0.5579 0.0000 0.2139
Tl3 0.1077 0.3704 0.7560
Tl4 0.1077 0.3704 0.2440
Sn1 0.3599 0.0000 0.0000
Cl1 0.0064 0.6044 0.5000
Se4 0.9960 0.5932 0.0000
Cl2 0.4020 0.3956 0.5000
Tl5 0.4327 0.0000 0.5000
```

Density functional theory data (GGA-PBE) for TlSnSeCl2 after structural relaxation.

CIF file:
```
data_TlSnSeCl2
_symmetry_space_group_name_H-M 'P 1'
_symmetry_Int_Tables_number 1
_symmetry_space_group_name_Hall 'P 1'
_cell_length_a 5.4122
_cell_length_b 5.4122
_cell_length_c 5.3088
_cell_angle_alpha 90.00
_cell_angle_beta 90.00
_cell_angle_gamma 90.00
loop_
_atom_site_label
_atom_site_fract_x
_atom_site_fract_y
_atom_site_fract_z
Se1 0.0000 0.0000 0.5000
Sn1 0.0000 0.0000 0.0000
Cl1 0.5000 0.0000 0.0000
Tl1 0.5000 0.5000 0.5000
Cl2 0.0000 0.5000 0.0000
```

What did we get for E_form (uncorrected)? Answer: -0.359; -0.466; -0.211; -0.355; -0.423; -0.660; -0.541; -0.658 eV per atom, in the order shown.
What did we get for total magnetization? Answer: 0.00; 0.00; 0.28; 0.00; 0.00; 0.00; 0.00; 0.00 μB/cell, in the order shown.
What did we get for E_tot? Answer: -3.00; -3.83; -3.14; -3.72; -3.76; -3.59; -3.33; -3.37 eV per atom, in the order shown.